[1]
Entry from Alexandria via LeMat-Bulk: ZnGaHgF6 after structural relaxation (PBE-GGA).

Cell lengths 5.3958, 5.3958, 11.1467 Å; angles 90.00, 90.00, 120.00 degrees
Fractional coordinates of all 18 atoms:
Zn: 0.3333 0.6667 0.2500
Zn: 0.6667 0.3333 0.7500
Ga: 0.3333 0.6667 0.7500
Ga: 0.6667 0.3333 0.2500
Hg: 0.0000 0.0000 0.0000
Hg: 0.0000 0.0000 0.5000
F: 0.0191 0.3877 0.6531
F: 0.0191 0.6314 0.8469
F: 0.3686 0.3877 0.8469
F: 0.3686 0.9809 0.6531
F: 0.3877 0.0191 0.1531
F: 0.3877 0.3686 0.3469
F: 0.6123 0.6314 0.6531
F: 0.6123 0.9809 0.8469
F: 0.6314 0.0191 0.3469
F: 0.6314 0.6123 0.1531
F: 0.9809 0.3686 0.1531
F: 0.9809 0.6123 0.3469

Calculated values
- ΔE_f (raw): -2.108 eV/atom
- Magnetization: 0.49 μB per formula unit
- Symmetry: P-31c, No. 163
- Total DFT energy (no corrections): -3.867 eV per atom

[2]
Entry from Alexandria via LeMat-Bulk: MgSiIr2 after structural relaxation (PBE-GGA).

Cell lengths 4.2343, 4.2343, 3.0744 Å; angles 90.00, 90.00, 90.00 degrees
Fractional coordinates of all 4 atoms:
Mg: 0.0000 0.0000 0.0000
Si: 0.5000 0.5000 0.0000
Ir: 0.0000 0.5000 0.5000
Ir: 0.5000 0.0000 0.5000

Calculated values
- ΔE_f (raw): -0.531 eV/atom
- Magnetization: 0.00 μB per formula unit
- Symmetry: P4/mmm, No. 123
- Total DFT energy (no corrections): -6.716 eV per atom

[3]
Entry from Alexandria via LeMat-Bulk: BaScAuBr2 after structural relaxation (PBE-GGA).

Cell lengths 5.1479, 5.1479, 7.7598 Å; angles 90.00, 90.00, 90.00 degrees
Fractional coordinates of all 5 atoms:
Ba: 0.0000 0.0000 0.0000
Sc: 0.0000 0.0000 0.5000
Au: 0.5000 0.5000 0.0000
Br: 0.0000 0.5000 0.5000
Br: 0.5000 0.0000 0.5000

Calculated values
- ΔE_f (raw): -0.756 eV/atom
- Magnetization: 0.00 μB per formula unit
- Symmetry: P4/mmm, No. 123
- Total DFT energy (no corrections): -3.731 eV per atom

[4]
Entry from Alexandria via LeMat-Bulk: Tc2SBr after structural relaxation (PBE-GGA).

Cell lengths 6.7288, 6.7288, 6.7288 Å; angles 133.04, 133.04, 68.59 degrees
Fractional coordinates of all 8 atoms:
Tc: 0.0813 0.6250 0.9563
Tc: 0.3750 0.3313 0.4563
Tc: 0.6687 0.1250 0.0437
Tc: 0.8750 0.9187 0.5437
S: 0.0000 0.0000 0.0000
S: 0.7500 0.2500 0.5000
Br: 0.2500 0.7500 0.5000
Br: 0.5000 0.5000 0.0000

Calculated values
- ΔE_f (raw): 0.438 eV/atom
- Magnetization: 0.00 μB per formula unit
- Symmetry: I-42d, No. 122
- Total DFT energy (no corrections): -6.195 eV per atom
- Distance to the lowest polymorph of the same formula: 0.000 eV/atom

[5]
Entry from Alexandria via LeMat-Bulk: BaLa2Bi2 after structural relaxation (PBE-GGA).

Cell lengths 7.2700, 7.2700, 7.2700 Å; angles 129.54, 129.54, 74.14 degrees
Fractional coordinates of all 5 atoms:
Ba: 0.0000 0.0000 0.0000
La: 0.3254 0.3254 0.0000
La: 0.6746 0.6746 0.0000
Bi: 0.2500 0.7500 0.5000
Bi: 0.7500 0.2500 0.5000

Calculated values
- Magnetization: 0.00 μB per formula unit
- Symmetry: I4/mmm, No. 139
- Total DFT energy (no corrections): -4.505 eV per atom
- Energy of formation from the pure elements: -0.597 eV/atom
- Distance to the lowest polymorph of the same formula: 0.212 eV/atom

[6]
Entry from Alexandria via LeMat-Bulk: CsLi3Zr after structural relaxation (PBE-GGA).

Cell lengths 5.9594, 5.9594, 5.9594 Å; angles 90.00, 90.00, 90.00 degrees
Fractional coordinates of all 5 atoms:
Cs: 0.0000 0.0000 0.0000
Li: 0.0000 0.5000 0.5000
Li: 0.5000 0.0000 0.5000
Li: 0.5000 0.5000 0.0000
Zr: 0.5000 0.5000 0.5000

Calculated values
- Magnetization: 4.54 μB per formula unit
- Symmetry: Pm-3m, No. 221
- Total DFT energy (no corrections): -2.126 eV per atom
- Energy of formation from the pure elements: 0.903 eV/atom
- Distance to the lowest polymorph of the same formula: 0.000 eV/atom